Entry 1:
Below is an optimized crystal structure of Zn2Sn3O8, with properties calculated at the PBE-GGA level.

Unit cell a=6.080 b=6.080 c=5.475 alpha=108.47 beta=108.47 gamma=63.55
Fractional positions:
Zn (0.169, 0.169, 0.129)
Zn (0.831, 0.831, 0.871)
Sn (0.238, 0.762, 0.500)
Sn (0.500, 0.500, 0.000)
Sn (0.762, 0.238, 0.500)
O (0.118, 0.118, 0.736)
O (0.153, 0.626, 0.746)
O (0.374, 0.847, 0.254)
O (0.385, 0.385, 0.258)
O (0.615, 0.615, 0.742)
O (0.626, 0.153, 0.746)
O (0.847, 0.374, 0.254)
O (0.882, 0.882, 0.264)

Values from the calculation:
Relative energy among the computed polymorphs (meV/atom): 0
Formation energy from raw total energies (eV/atom): -1.515

Entry 2:
Below is an optimized crystal structure of ZnSn2O4, with properties calculated at the PBE-GGA level.

Unit cell a=6.251 b=7.405 c=12.303 alpha=90.00 beta=113.82 gamma=90.00
Fractional positions:
Zn (0.000, 0.026, 0.250)
Zn (0.000, 0.974, 0.750)
Zn (0.500, 0.223, 0.250)
Zn (0.500, 0.777, 0.750)
Sn (0.000, 0.000, 0.000)
Sn (0.000, 0.000, 0.500)
Sn (0.193, 0.375, 0.441)
Sn (0.193, 0.625, 0.941)
Sn (0.500, 0.000, 0.000)
Sn (0.500, 0.000, 0.500)
Sn (0.807, 0.375, 0.059)
Sn (0.807, 0.625, 0.559)
O (0.107, 0.192, 0.141)
O (0.107, 0.808, 0.641)
O (0.172, 0.113, 0.900)
O (0.172, 0.887, 0.400)
O (0.305, 0.159, 0.572)
O (0.305, 0.841, 0.072)
O (0.418, 0.222, 0.382)
O (0.418, 0.778, 0.882)
O (0.582, 0.222, 0.118)
O (0.582, 0.778, 0.618)
O (0.695, 0.159, 0.928)
O (0.695, 0.841, 0.428)
O (0.828, 0.113, 0.600)
O (0.828, 0.887, 0.100)
O (0.893, 0.192, 0.359)
O (0.893, 0.808, 0.859)

Values from the calculation:
Relative energy among the computed polymorphs (meV/atom): 45
Formation energy from raw total energies (eV/atom): -1.339

Entry 3:
Below is an optimized crystal structure of Zr3SnO, with properties calculated at the PBE-GGA level.

Unit cell a=6.083 b=6.083 c=9.080 alpha=90.00 beta=90.00 gamma=146.53
Fractional positions:
Zr (0.039, 0.961, 0.750)
Zr (0.371, 0.629, 0.542)
Zr (0.371, 0.629, 0.958)
Zr (0.629, 0.371, 0.042)
Zr (0.629, 0.371, 0.458)
Zr (0.961, 0.039, 0.250)
Sn (0.254, 0.746, 0.250)
Sn (0.746, 0.254, 0.750)
O (0.000, 0.000, 0.000)
O (0.000, 0.000, 0.500)

Values from the calculation:
Relative energy among the computed polymorphs (meV/atom): 0
Formation energy from raw total energies (eV/atom): -1.279

Entry 4:
Below is an optimized crystal structure of Zr4SnO, with properties calculated at the PBE-GGA level.

Unit cell a=7.494 b=7.494 c=6.441 alpha=104.61 beta=104.61 gamma=42.67
Fractional positions:
Zr (0.024, 0.172, 0.443)
Zr (0.172, 0.024, 0.943)
Zr (0.236, 0.374, 0.834)
Zr (0.374, 0.236, 0.334)
Zr (0.626, 0.764, 0.666)
Zr (0.764, 0.626, 0.166)
Zr (0.828, 0.976, 0.057)
Zr (0.976, 0.828, 0.557)
Sn (0.404, 0.596, 0.250)
Sn (0.596, 0.404, 0.750)
O (0.000, 0.500, 0.500)
O (0.500, 0.000, 0.000)

Values from the calculation:
Formation energy from raw total energies (eV/atom): -1.028

Entry 5:
Below is an optimized crystal structure of Zr3SnO, with properties calculated at the PBE-GGA level.

Unit cell a=4.464 b=4.523 c=9.301 alpha=90.00 beta=90.00 gamma=90.00
Fractional positions:
Zr (0.250, 0.000, 0.121)
Zr (0.250, 0.000, 0.622)
Zr (0.250, 0.500, 0.372)
Zr (0.750, 0.000, 0.378)
Zr (0.750, 0.000, 0.879)
Zr (0.750, 0.500, 0.628)
Sn (0.250, 0.500, 0.862)
Sn (0.750, 0.500, 0.138)
O (0.250, 0.000, 0.379)
O (0.750, 0.000, 0.621)

Values from the calculation:
Relative energy among the computed polymorphs (meV/atom): 78
Formation energy from raw total energies (eV/atom): -1.201

Entry 6:
Below is an optimized crystal structure of Zr6Sn2O, with properties calculated at the PBE-GGA level.

Unit cell a=3.516 b=7.776 c=7.776 alpha=118.63 beta=90.00 gamma=90.00
Fractional positions:
Zr (0.000, 0.000, 0.000)
Zr (0.000, 0.516, 0.745)
Zr (0.000, 0.745, 0.516)
Zr (0.500, 0.154, 0.753)
Zr (0.500, 0.345, 0.345)
Zr (0.500, 0.753, 0.154)
Sn (0.000, 0.082, 0.421)
Sn (0.000, 0.421, 0.082)
O (0.500, 0.826, 0.826)

Values from the calculation:
Relative energy among the computed polymorphs (meV/atom): 190
Formation energy from raw total energies (eV/atom): -0.658

Entry 7:
Below is an optimized crystal structure of Zr5Sn3O, with properties calculated at the PBE-GGA level.

Unit cell a=8.494 b=8.494 c=5.778 alpha=90.00 beta=90.00 gamma=120.00
Fractional positions:
Zr (0.000, 0.230, 0.250)
Zr (0.000, 0.770, 0.750)
Zr (0.230, 0.000, 0.250)
Zr (0.230, 0.230, 0.750)
Zr (0.333, 0.667, 0.000)
Zr (0.333, 0.667, 0.500)
Zr (0.667, 0.333, 0.000)
Zr (0.667, 0.333, 0.500)
Zr (0.770, 0.000, 0.750)
Zr (0.770, 0.770, 0.250)
Sn (0.000, 0.403, 0.750)
Sn (0.000, 0.597, 0.250)
Sn (0.403, 0.000, 0.750)
Sn (0.403, 0.403, 0.250)
Sn (0.597, 0.000, 0.250)
Sn (0.597, 0.597, 0.750)
O (0.000, 0.000, 0.000)
O (0.000, 0.000, 0.500)

Values from the calculation:
Formation energy from raw total energies (eV/atom): -1.036

Entry 8:
Below is an optimized crystal structure of Zr2SnO, with properties calculated at the PBE-GGA level.

Unit cell a=6.762 b=6.762 c=6.963 alpha=90.00 beta=90.00 gamma=90.00
Fractional positions:
Zr (0.139, 0.250, 0.125)
Zr (0.250, 0.639, 0.375)
Zr (0.250, 0.861, 0.875)
Zr (0.361, 0.250, 0.625)
Zr (0.639, 0.750, 0.625)
Zr (0.750, 0.139, 0.875)
Zr (0.750, 0.361, 0.375)
Zr (0.861, 0.750, 0.125)
Sn (0.000, 0.000, 0.500)
Sn (0.000, 0.500, 0.750)
Sn (0.500, 0.000, 0.250)
Sn (0.500, 0.500, 0.000)
O (0.000, 0.000, 0.000)
O (0.000, 0.500, 0.250)
O (0.500, 0.000, 0.750)
O (0.500, 0.500, 0.500)

Values from the calculation:
Relative energy among the computed polymorphs (meV/atom): 0
Formation energy from raw total energies (eV/atom): -1.337